Entry 1:
# Nd8TcAu2 (PBE, relaxed)
data_Nd8TcAu2
_chemical_formula_sum 'Nd8 Tc1 Au2'
_symmetry_space_group_name_H-M 'P 1'
_symmetry_Int_Tables_number 1
_cell_length_a 6.002
_cell_length_b 8.267
_cell_length_c 8.267
_cell_angle_alpha 117.89
_cell_angle_beta 102.16
_cell_angle_gamma 102.16
loop_
_symmetry_equiv_pos_as_xyz
'x,y,z'
loop_
_atom_site_label
_atom_site_type_symbol
_atom_site_fract_x
_atom_site_fract_y
_atom_site_fract_z
_atom_site_occupancy
Nd1 Nd 0.993 0.796 0.198 1
Nd2 Nd 0.595 0.102 0.333 1
Nd3 Nd 0.595 0.333 0.102 1
Au1 Au 0.500 0.306 0.709 1
Nd4 Nd 0.993 0.198 0.796 1
Nd5 Nd 0.810 0.642 0.642 1
Nd6 Nd 0.379 0.670 0.904 1
Au2 Au 0.500 0.709 0.306 1
Nd7 Nd 0.379 0.904 0.670 1
Tc1 Tc 0.068 0.007 0.007 1
Nd8 Nd 0.188 0.368 0.368 1
# Total energy (eV/atom): -5.170
# Calculated density (kg/m3): 8258
# Symmetry: Cm
# Calculated volume (A^3/atom): 30.1

***

Entry 2:
# Nd5TeAu2 (PBE, relaxed)
data_Nd5TeAu2
_chemical_formula_sum 'Nd10 Te2 Au4'
_symmetry_space_group_name_H-M 'P 1'
_symmetry_Int_Tables_number 1
_cell_length_a 8.445
_cell_length_b 8.445
_cell_length_c 8.911
_cell_angle_alpha 118.29
_cell_angle_beta 118.29
_cell_angle_gamma 90.00
loop_
_symmetry_equiv_pos_as_xyz
'x,y,z'
loop_
_atom_site_label
_atom_site_type_symbol
_atom_site_fract_x
_atom_site_fract_y
_atom_site_fract_z
_atom_site_occupancy
Au1 Au 0.637 0.137 0.000 1
Nd1 Nd 0.511 0.703 0.714 1
Au2 Au 0.863 0.637 0.000 1
Nd2 Nd 0.797 0.989 0.286 1
Au3 Au 0.137 0.363 0.000 1
Te1 Te 0.250 0.250 0.500 1
Nd3 Nd 0.703 0.203 0.714 1
Te2 Te 0.750 0.750 0.500 1
Nd4 Nd 0.297 0.797 0.286 1
Nd5 Nd 0.011 0.511 0.714 1
Nd6 Nd 0.489 0.297 0.286 1
Au4 Au 0.363 0.863 0.000 1
Nd7 Nd 0.203 0.011 0.714 1
Nd8 Nd 0.500 0.500 0.000 1
Nd9 Nd 0.989 0.489 0.286 1
Nd10 Nd 0.000 0.000 0.000 1
# Calculated density (kg/m3): 8749
# Symmetry: I4/mcm
# Formation energy without anion corrections (eV/atom): -0.73
# Calculated volume (A^3/atom): 29.5

***

Entry 3:
# Nd2Te4Au (PBE, relaxed)
data_Nd2Te4Au
_chemical_formula_sum 'Nd4 Te8 Au2'
_symmetry_space_group_name_H-M 'P 1'
_symmetry_Int_Tables_number 1
_cell_length_a 6.303
_cell_length_b 7.529
_cell_length_c 9.636
_cell_angle_alpha 102.93
_cell_angle_beta 90.00
_cell_angle_gamma 90.00
loop_
_symmetry_equiv_pos_as_xyz
'x,y,z'
loop_
_atom_site_label
_atom_site_type_symbol
_atom_site_fract_x
_atom_site_fract_y
_atom_site_fract_z
_atom_site_occupancy
Te1 Te 0.250 0.963 0.124 1
Nd1 Nd 0.750 0.804 0.118 1
Au1 Au 0.250 0.656 0.927 1
Nd2 Nd 0.750 0.765 0.559 1
Te2 Te 0.009 0.539 0.284 1
Nd3 Nd 0.250 0.235 0.441 1
Te3 Te 0.491 0.539 0.284 1
Te4 Te 0.991 0.461 0.716 1
Nd4 Nd 0.250 0.196 0.882 1
Te5 Te 0.250 0.908 0.596 1
Au2 Au 0.750 0.344 0.073 1
Te6 Te 0.509 0.461 0.716 1
Te7 Te 0.750 0.037 0.876 1
Te8 Te 0.750 0.092 0.404 1
# Energy above the lowest structure with this stoichiometry (meV per atom): 18.1
# Calculated density (kg/m3): 7422
# Symmetry: P2_1/m
# Formation energy without anion corrections (eV/atom): -0.98
# Calculated volume (A^3/atom): 31.8

***

Entry 4:
# NdTe2Au (PBE, relaxed)
data_NdTe2Au
_chemical_formula_sum 'Nd1 Te2 Au1'
_symmetry_space_group_name_H-M 'P 1'
_symmetry_Int_Tables_number 1
_cell_length_a 4.656
_cell_length_b 4.657
_cell_length_c 7.573
_cell_angle_alpha 90.47
_cell_angle_beta 90.43
_cell_angle_gamma 60.03
loop_
_symmetry_equiv_pos_as_xyz
'x,y,z'
loop_
_atom_site_label
_atom_site_type_symbol
_atom_site_fract_x
_atom_site_fract_y
_atom_site_fract_z
_atom_site_occupancy
Te1 Te 0.511 0.957 0.105 1
Nd1 Nd 0.842 0.287 0.790 1
Au1 Au 0.177 0.622 0.001 1
Te2 Te 0.174 0.619 0.583 1
# Calculated density (kg/m3): 6962
# Symmetry: Cm
# Formation energy without anion corrections (eV/atom): -0.90
# Calculated volume (A^3/atom): 35.6

***

Entry 5:
# Nd2Te3Au (PBE, relaxed)
data_Nd2Te3Au
_chemical_formula_sum 'Nd8 Te12 Au4'
_symmetry_space_group_name_H-M 'P 1'
_symmetry_Int_Tables_number 1
_cell_length_a 4.391
_cell_length_b 12.299
_cell_length_c 13.394
_cell_angle_alpha 90.00
_cell_angle_beta 90.00
_cell_angle_gamma 90.00
loop_
_symmetry_equiv_pos_as_xyz
'x,y,z'
loop_
_atom_site_label
_atom_site_type_symbol
_atom_site_fract_x
_atom_site_fract_y
_atom_site_fract_z
_atom_site_occupancy
Te1 Te 0.750 0.937 0.113 1
Nd1 Nd 0.750 0.471 0.215 1
Te2 Te 0.250 0.063 0.887 1
Nd2 Nd 0.250 0.971 0.285 1
Nd3 Nd 0.750 0.317 0.526 1
Nd4 Nd 0.250 0.683 0.474 1
Nd5 Nd 0.250 0.817 0.974 1
Te3 Te 0.750 0.877 0.447 1
Te4 Te 0.250 0.123 0.553 1
Au1 Au 0.250 0.202 0.189 1
Te5 Te 0.750 0.623 0.947 1
Nd6 Nd 0.750 0.029 0.715 1
Nd7 Nd 0.250 0.529 0.785 1
Te6 Te 0.750 0.330 0.815 1
Te7 Te 0.250 0.670 0.185 1
Au2 Au 0.250 0.298 0.689 1
Au3 Au 0.750 0.702 0.311 1
Te8 Te 0.750 0.170 0.315 1
Te9 Te 0.250 0.830 0.685 1
Te10 Te 0.750 0.563 0.613 1
Te11 Te 0.250 0.437 0.387 1
Au4 Au 0.750 0.798 0.811 1
Te12 Te 0.250 0.377 0.053 1
Nd8 Nd 0.750 0.183 0.026 1
# Calculated density (kg/m3): 7973
# Symmetry: Pnma
# Formation energy without anion corrections (eV/atom): -1.15
# Calculated volume (A^3/atom): 30.1

***

Entry 6:
# Nd3Te3Au (PBE, relaxed)
data_Nd3Te3Au
_chemical_formula_sum 'Nd6 Te6 Au2'
_symmetry_space_group_name_H-M 'P 1'
_symmetry_Int_Tables_number 1
_cell_length_a 9.291
_cell_length_b 9.291
_cell_length_c 8.260
_cell_angle_alpha 55.78
_cell_angle_beta 55.78
_cell_angle_gamma 60.00
loop_
_symmetry_equiv_pos_as_xyz
'x,y,z'
loop_
_atom_site_label
_atom_site_type_symbol
_atom_site_fract_x
_atom_site_fract_y
_atom_site_fract_z
_atom_site_occupancy
Te1 Te 0.628 0.195 0.262 1
Te2 Te 0.372 0.805 0.738 1
Te3 Te 0.195 0.916 0.262 1
Au1 Au 0.343 0.343 0.972 1
Te4 Te 0.805 0.084 0.738 1
Te5 Te 0.084 0.372 0.738 1
Nd1 Nd 0.701 0.450 0.761 1
Nd2 Nd 0.912 0.299 0.239 1
Te6 Te 0.916 0.628 0.262 1
Nd3 Nd 0.550 0.912 0.239 1
Au2 Au 0.657 0.657 0.028 1
Nd4 Nd 0.450 0.088 0.761 1
Nd5 Nd 0.088 0.701 0.761 1
Nd6 Nd 0.299 0.550 0.239 1
# Calculated density (kg/m3): 7161
# Symmetry: R-3
# Formation energy without anion corrections (eV/atom): -1.18
# Calculated volume (A^3/atom): 33.5

***

Entry 7:
# Nd3Te12Au5 (PBE, relaxed)
data_Nd3Te12Au5
_chemical_formula_sum 'Nd12 Te48 Au20'
_symmetry_space_group_name_H-M 'P 1'
_symmetry_Int_Tables_number 1
_cell_length_a 15.040
_cell_length_b 15.040
_cell_length_c 15.040
_cell_angle_alpha 109.47
_cell_angle_beta 109.47
_cell_angle_gamma 109.47
loop_
_symmetry_equiv_pos_as_xyz
'x,y,z'
loop_
_atom_site_label
_atom_site_type_symbol
_atom_site_fract_x
_atom_site_fract_y
_atom_site_fract_z
_atom_site_occupancy
Te1 Te 0.411 0.040 0.330 1
Te2 Te 0.418 0.290 0.330 1
Te3 Te 0.170 0.082 0.710 1
Te4 Te 0.082 0.911 0.372 1
Nd1 Nd 0.875 0.750 0.125 1
Nd2 Nd 0.625 0.250 0.375 1
Au1 Au 0.750 0.625 0.375 1
Te5 Te 0.710 0.582 0.170 1
Te6 Te 0.089 0.918 0.128 1
Te7 Te 0.128 0.710 0.540 1
Au2 Au 0.000 0.500 0.500 1
Au3 Au 0.250 0.875 0.125 1
Te8 Te 0.290 0.418 0.830 1
Nd3 Nd 0.125 0.875 0.750 1
Te9 Te 0.330 0.790 0.418 1
Te10 Te 0.128 0.418 0.089 1
Te11 Te 0.372 0.960 0.790 1
Au4 Au 0.250 0.375 0.625 1
Te12 Te 0.960 0.589 0.170 1
Au5 Au 0.500 0.000 0.500 1
Te13 Te 0.040 0.628 0.710 1
Te14 Te 0.290 0.872 0.960 1
Nd4 Nd 0.250 0.125 0.375 1
Te15 Te 0.040 0.411 0.830 1
Te16 Te 0.710 0.128 0.040 1
Te17 Te 0.089 0.170 0.460 1
Te18 Te 0.460 0.670 0.089 1
Te19 Te 0.418 0.128 0.589 1
Te20 Te 0.210 0.540 0.628 1
Au6 Au 0.000 0.000 0.500 1
Au7 Au 0.375 0.250 0.125 1
Te21 Te 0.460 0.790 0.872 1
Nd5 Nd 0.375 0.750 0.625 1
Te22 Te 0.911 0.082 0.872 1
Te23 Te 0.872 0.582 0.911 1
Te24 Te 0.582 0.872 0.411 1
Au8 Au 0.750 0.125 0.875 1
Te25 Te 0.372 0.411 0.082 1
Te26 Te 0.911 0.830 0.540 1
Te27 Te 0.589 0.628 0.418 1
Te28 Te 0.790 0.330 0.918 1
Te29 Te 0.918 0.830 0.790 1
Te30 Te 0.670 0.460 0.589 1
Au9 Au 0.125 0.375 0.250 1
Nd6 Nd 0.875 0.125 0.250 1
Au10 Au 0.000 0.000 0.000 1
Au11 Au 0.500 0.500 0.000 1
Nd7 Nd 0.625 0.375 0.750 1
Au12 Au 0.625 0.875 0.250 1
Au13 Au 0.875 0.625 0.750 1
Te31 Te 0.540 0.210 0.128 1
Te32 Te 0.830 0.918 0.290 1
Te33 Te 0.790 0.460 0.372 1
Au14 Au 0.875 0.250 0.625 1
Te34 Te 0.628 0.040 0.210 1
Te35 Te 0.960 0.372 0.290 1
Nd8 Nd 0.125 0.250 0.875 1
Te36 Te 0.170 0.089 0.960 1
Nd9 Nd 0.750 0.375 0.125 1
Te37 Te 0.082 0.170 0.210 1
Au15 Au 0.625 0.750 0.875 1
Te38 Te 0.589 0.960 0.670 1
Nd10 Nd 0.250 0.625 0.875 1
Te39 Te 0.330 0.540 0.411 1
Au16 Au 0.125 0.750 0.375 1
Te40 Te 0.540 0.330 0.911 1
Te41 Te 0.582 0.710 0.670 1
Nd11 Nd 0.375 0.625 0.250 1
Te42 Te 0.210 0.670 0.082 1
Te43 Te 0.411 0.372 0.582 1
Au17 Au 0.500 0.000 0.000 1
Te44 Te 0.670 0.210 0.582 1
Au18 Au 0.000 0.500 0.000 1
Nd12 Nd 0.750 0.875 0.625 1
Au19 Au 0.375 0.125 0.750 1
Te45 Te 0.830 0.911 0.040 1
Au20 Au 0.500 0.500 0.500 1
Te46 Te 0.872 0.290 0.460 1
Te47 Te 0.918 0.089 0.628 1
Te48 Te 0.628 0.589 0.918 1
# Calculated density (kg/m3): 7479
# Symmetry: Ia-3d
# Formation energy without anion corrections (eV/atom): -0.46
# Calculated volume (A^3/atom): 32.7

***

Entry 8:
# NdTe2Au (PBE, relaxed)
data_NdTe2Au
_chemical_formula_sum 'Nd1 Te2 Au1'
_symmetry_space_group_name_H-M 'P 1'
_symmetry_Int_Tables_number 1
_cell_length_a 4.034
_cell_length_b 4.034
_cell_length_c 9.713
_cell_angle_alpha 78.01
_cell_angle_beta 78.01
_cell_angle_gamma 60.00
loop_
_symmetry_equiv_pos_as_xyz
'x,y,z'
loop_
_atom_site_label
_atom_site_type_symbol
_atom_site_fract_x
_atom_site_fract_y
_atom_site_fract_z
_atom_site_occupancy
Au1 Au 0.500 0.500 0.500 1
Te1 Te 0.891 0.891 0.328 1
Nd1 Nd 0.000 0.000 0.000 1
Te2 Te 0.109 0.109 0.672 1
# Calculated density (kg/m3): 7451
# Symmetry: R-3m
# Formation energy without anion corrections (eV/atom): -0.06
# Calculated volume (A^3/atom): 33.2

***

Number 1: spin magnetization 0.00 μB/f.u.. Number 2: spin magnetization 0.00 μB/f.u.. Number 3: spin magnetization 0.00 μB/f.u.. Number 4: spin magnetization 0.00 μB/f.u.. Number 5: spin magnetization 0.00 μB/f.u.. Number 6: spin magnetization 0.00 μB/f.u.. Number 7: spin magnetization 0.00 μB/f.u.. Number 8: spin magnetization 0.00 μB/f.u..